The following is a GGA-PBE calculation of a geometry-optimized K2NpPd2O6 structure, from the Alexandria database.

Structure (extended XYZ):
```
11
Lattice="3.1280 -4.6114 0.0000 3.1280 4.6114 0.0000 -3.1261 0.0000 6.3555" Properties=species:S:1:pos:R:3 pbc="T T T"
K 3.1280 2.9393 0.0000
K 3.1280 -2.9393 0.0000
Np -1.5630 0.0000 3.1778
Pd 1.5649 1.5327 3.1778
Pd 1.5649 -1.5327 3.1778
O -1.1383 1.4853 4.4671
O 0.6428 0.0000 2.1415
O -1.1383 -1.4853 4.4671
O 4.2682 1.4853 1.8884
O 2.4871 0.0000 4.2140
O 4.2682 -1.4853 1.8884
```

Summary:
Total moment in μB per cell: 1.002
Electronic total energy in eV/atom: -6.63
Formation energy from raw total energies in eV per atom: -1.60
Space group: No. 12